(1)
A plane-wave DFT calculation with GGA-PBE was carried out for a relaxed structure of KMnAg4.

POSCAR file:
```
KMnAg4
1.0
0.000 4.021 4.021
4.021 0.000 4.021
4.021 4.021 0.000
Ag Mn K
4 1 1
direct
0.877 0.374 0.374
0.374 0.374 0.374
0.374 0.877 0.374
0.374 0.374 0.877
0.000 0.000 0.000
0.750 0.750 0.750
```

Output
- Uncorrected energy: -3.30 eV per atom
- ΔH_f (0 K): 0.31 eV per atom
- SG: F-43m, No. 216
- Size of the total moment: 4.6 μB per formula unit
- Calculated volume: 21.666 Å³ per atom

---

(2)
A plane-wave DFT calculation with GGA-PBE was carried out for a relaxed structure of KReSe2N.

POSCAR file:
```
KReSe2N
1.0
-4.411 -0.630 3.558
3.582 -0.026 4.436
-0.390 4.657 0.342
N Se Re K
1 2 1 1
direct
0.000 0.000 0.500
0.000 0.500 0.000
0.500 0.000 0.000
0.500 0.500 0.500
0.000 0.000 0.000
```

Output
- ΔE to the lowest computed polymorph: 2548.2 meV per atom
- Uncorrected energy: -3.32 eV per atom
- Raw formation energy: 2.448 eV/atom
- SG: P4/mmm, No. 123
- Size of the total moment: 1.0 μB per formula unit
- Calculated volume: 30.469 Å³ per atom

---

(3)
A plane-wave DFT calculation with GGA-PBE was carried out for a relaxed structure of ScCdAs2.

POSCAR file:
```
ScCdAs2
1.0
3.042 -0.003 0.000
-0.008 3.042 0.000
0.000 0.000 9.500
Cd As Sc
1 2 1
direct
0.000 0.000 0.508
0.500 0.500 0.284
0.000 0.000 0.950
0.500 0.500 0.758
```

Output
- Uncorrected energy: -4.27 eV per atom
- ΔH_f (0 K): -0.14 eV per atom
- SG: Cmm2, No. 35
- Size of the total moment: 0.0 μB per formula unit
- Calculated volume: 21.972 Å³ per atom

---

(4)
A plane-wave DFT calculation with GGA-PBE was carried out for a relaxed structure of Ce2AgGe4Ir3.

POSCAR file:
```
Ce2AgGe4Ir3
1.0
-3.191 0.620 2.865
1.532 -3.258 2.411
5.844 6.521 5.098
Ir Ce Ge Ag
3 2 4 1
direct
0.500 0.000 0.877
0.000 0.000 0.500
0.000 0.500 0.123
0.000 0.500 0.761
0.500 0.000 0.239
0.000 0.000 0.000
0.500 0.500 0.000
0.500 0.000 0.637
0.000 0.500 0.363
0.500 0.500 0.500
```

Output
- Uncorrected energy: -6.61 eV per atom
- ΔH_f (0 K): -0.64 eV per atom
- SG: P-4m2, No. 115
- Size of the total moment: 1.2 μB per formula unit
- Calculated volume: 19.022 Å³ per atom